[1]
# Pr2TlCd3

Pr2TlCd3 after structural relaxation (GGA-PBE, Alexandria via LeMat-Bulk).

a = 7.295 Å, b = 10.151 Å, c = 17.590 Å
α = 90.00°, β = 90.00°, γ = 90.00°
Space group Fmmm (No. 69)
Unique sites:
Pr 0.249 0.000 0.000 [8 per cell]
Pr 0.250 0.250 0.250 [8 per cell]
Tl 0.000 0.000 0.333 [8 per cell]
Cd 0.000 0.000 0.165 [8 per cell]
Cd 0.000 0.247 0.082 [16 per cell]

density of states at the Fermi level = 39.94 states/eV per cell
size of the total moment = 0.00 Bohr magnetons per cell
ΔE_f = -0.342 eV/atom
theoretical density = 8.4 g/cm3

[2]
# KMnSN2

KMnSN2 after structural relaxation (GGA-PBE, Alexandria via LeMat-Bulk).

a = 4.667 Å, b = 4.667 Å, c = 6.035 Å
α = 90.00°, β = 90.00°, γ = 90.00°
Space group P4/mmm (No. 123)
Unique sites:
K 0.000 0.000 0.000 [1 per cell]
Mn 0.500 0.500 0.500 [1 per cell]
S 0.000 0.000 0.500 [1 per cell]
N 0.000 0.500 0.000 [2 per cell]

density of states at the Fermi level = 1.82 states/eV per cell
size of the total moment = 10.12 Bohr magnetons per cell
theoretical density = 1.9 g/cm3
formation energy from raw total energies = 220 kJ per mole of atoms